[1]
Entry from Alexandria: a geometry-optimized TlAgOs2 structure (PBE-GGA).

a b c (Å): 4.441 3.929 3.929
angles (deg): 90.00 90.00 90.00
Atoms (fractional coordinates):
Ag (0.500, 0.000, 0.500)
Os (0.000, 0.500, 0.500)
Os (0.000, 0.000, 0.000)
Tl (0.500, 0.500, 0.000)

Calculated values
SG: P4/mmm, No. 123
Formation enthalpy at 0 K: 1123 meV/atom
Excess energy over the best structure of this formula in the dataset: 609.7 meV/atom
Theoretical density: 16.776 g/cm³

=====

[2]
Entry from Alexandria: a geometry-optimized CsKGaAg2 structure (PBE-GGA).

a b c (Å): 5.267 5.267 6.151
angles (deg): 90.00 90.00 90.00
Atoms (fractional coordinates):
Ag (0.500, 0.000, 0.000)
Ag (0.000, 0.500, 0.000)
Ga (0.000, 0.000, 0.000)
K (0.000, 0.000, 0.500)
Cs (0.500, 0.500, 0.500)

Calculated values
SG: P4/mmm, No. 123
Formation enthalpy at 0 K: 127 meV/atom
Theoretical density: 4.452 g/cm³

=====

[3]
Entry from Alexandria: a geometry-optimized Rh3PbO6 structure (PBE-GGA).

a b c (Å): 3.211 6.350 6.350
angles (deg): 109.92 90.00 90.00
Atoms (fractional coordinates):
Rh (0.000, 0.000, 0.000)
O (0.000, 0.331, 0.071)
O (0.500, 0.671, 0.329)
Rh (0.500, 0.000, 0.500)
Rh (0.500, 0.500, 0.000)
Pb (0.000, 0.500, 0.500)
O (0.500, 0.329, 0.671)
O (0.000, 0.669, 0.929)
O (0.000, 0.071, 0.331)
O (0.000, 0.929, 0.669)

Calculated values
SG: Cmmm, No. 65
Raw formation energy: -8.33 eV/f.u.
Theoretical density: 8.346 g/cm³

=====

[4]
Entry from Alexandria: a geometry-optimized Ti5Fe2CoPt2 structure (PBE-GGA).

a b c (Å): 2.896 10.020 10.020
angles (deg): 90.00 90.00 90.00
Atoms (fractional coordinates):
Ti (0.500, 0.693, 0.423)
Ti (0.500, 0.307, 0.577)
Pt (0.000, 0.331, 0.831)
Pt (0.000, 0.669, 0.169)
Ti (0.500, 0.577, 0.693)
Ti (0.500, 0.923, 0.193)
Co (0.000, 0.000, 0.000)
Pt (0.000, 0.169, 0.331)
Fe (0.000, 0.132, 0.632)
Fe (0.000, 0.868, 0.368)
Fe (0.000, 0.632, 0.868)
Fe (0.000, 0.368, 0.132)
Co (0.000, 0.500, 0.500)
Ti (0.500, 0.500, 0.000)
Pt (0.000, 0.831, 0.669)
Ti (0.500, 0.000, 0.500)
Ti (0.500, 0.193, 0.077)
Ti (0.500, 0.077, 0.807)
Ti (0.500, 0.807, 0.923)
Ti (0.500, 0.423, 0.307)

Calculated values
SG: P4/mbm, No. 127
Formation enthalpy at 0 K: -373 meV/atom
Theoretical density: 9.139 g/cm³

=====

[5]
Entry from Alexandria: a geometry-optimized CsMn3Pb structure (PBE-GGA).

a b c (Å): 5.303 5.303 5.303
angles (deg): 90.00 90.00 90.00
Atoms (fractional coordinates):
Mn (0.000, 0.000, 0.500)
Mn (0.500, 0.000, 0.000)
Cs (0.000, 0.000, 0.000)
Mn (0.000, 0.500, 0.000)
Pb (0.500, 0.500, 0.500)

Calculated values
SG: Pm-3m, No. 221
Formation enthalpy at 0 K: 2104 meV/atom
Theoretical density: 5.624 g/cm³

=====

[6]
Entry from Alexandria: a geometry-optimized ReRuS2 structure (PBE-GGA).

a b c (Å): 5.224 5.224 6.389
angles (deg): 65.87 65.87 90.00
Atoms (fractional coordinates):
Ru (0.250, 0.750, 0.500)
Re (0.000, 0.000, 0.000)
Re (0.750, 0.250, 0.500)
S (0.875, 0.876, 0.750)
Ru (0.500, 0.500, 0.000)
S (0.375, 0.374, 0.750)
S (0.626, 0.125, 0.250)
S (0.124, 0.625, 0.250)

Calculated values
SG: I-42d, No. 122
Raw formation energy: 0.09 eV/f.u.
Excess energy over the best structure of this formula in the dataset: 0.0 meV/atom
Theoretical density: 8.203 g/cm³